(A)
Density functional theory data (PBE-GGA) for a relaxed structure of Dy2TmSc.

Summary:
Spin magnetization ... 0.00 μB per formula unit

Unit cell a=3.468 b=5.977 c=5.982 alpha=99.68 beta=106.76 gamma=90.04
Space group P1 (No. 1)
Inequivalent atoms, fractional coordinates:
Dy 0.000 0.000 0.000 x1
Dy 0.247 0.747 0.493 x1
Tm 0.753 0.253 0.506 x1
Sc 0.499 0.499 0.999 x1


(B)
Density functional theory data (PBE-GGA) for a relaxed structure of Dy2TmSc.

Summary:
Spin magnetization ... 0.00 μB per formula unit

Unit cell a=3.4977 b=3.4977 c=33.2587 alpha=90.00 beta=90.00 gamma=120.00
Space group R3m (No. 160, hexagonal axes)
Inequivalent atoms, fractional coordinates:
Dy 0.0000 0.0000 0.0000 x3
Dy 0.0000 0.0000 0.1707 x3
Tm 0.0000 0.0000 0.4188 x3
Sc 0.0000 0.0000 0.5852 x3


Stability order, top to bottom: (B), (A)


(A)
Density functional theory data (PBE-GGA) for a relaxed structure of DyTm6Sc4.

Summary:
Spin magnetization ... 0.00 μB per formula unit

Unit cell a=6.291 b=6.291 c=16.461 alpha=90.00 beta=90.00 gamma=90.00
Space group I-42m (No. 121)
Inequivalent atoms, fractional coordinates:
Dy 0.000 0.000 0.000 x2
Tm 0.000 0.500 0.000 x4
Tm 0.188 0.188 0.177 x8
Sc 0.176 0.176 0.372 x8


(B)
Density functional theory data (PBE-GGA) for a relaxed structure of DyTm6Sc4.

Summary:
Spin magnetization ... 0.00 μB per formula unit

Unit cell a=7.923 b=7.923 c=10.906 alpha=90.00 beta=90.00 gamma=90.00
Space group I-42m (No. 121)
Inequivalent atoms, fractional coordinates:
Dy 0.000 0.000 0.000 x2
Tm 0.000 0.500 0.000 x4
Tm 0.159 0.159 0.577 x8
Sc 0.206 0.206 0.301 x8


Stability order, top to bottom: (A), (B)


(A)
Density functional theory data (PBE-GGA) for a relaxed structure of Dy4Tm5Sc.

Summary:
Spin magnetization ... 0.00 μB per formula unit

Unit cell a=18.956 b=3.519 c=9.395 alpha=90.00 beta=100.10 gamma=90.00
Space group C2/m (No. 12)
Inequivalent atoms, fractional coordinates:
Dy 0.068 0.000 0.279 x4
Dy 0.179 0.500 0.516 x4
Tm 0.000 0.500 0.000 x2
Tm 0.113 0.000 0.787 x4
Tm 0.217 0.000 0.142 x4
Sc 0.000 0.500 0.500 x2


(B)
Density functional theory data (PBE-GGA) for a relaxed structure of Dy4Tm5Sc.

Summary:
Spin magnetization ... 0.00 μB per formula unit

Unit cell a=10.510 b=10.510 c=5.671 alpha=90.00 beta=90.00 gamma=90.00
Space group I4mm (No. 107)
Inequivalent atoms, fractional coordinates:
Dy 0.000 0.322 0.000 x8
Tm 0.000 0.000 0.229 x2
Tm 0.187 0.187 0.508 x8
Sc 0.000 0.000 0.757 x2


Stability order, top to bottom: (A), (B)